OsCS2O PBE-GGA optimized geometry; uncorrected energy = -4.85 eV/atom; ρ = 7.9 g cm⁻³; SG = P4/mmm, No. 123; total moment = 0.000 μB per formula unit; V = 11.9 Å³ per atom
1.0
3.9930 0.0000 0.0000
0.0000 3.7328 0.0000
0.0000 0.0000 3.9930
S Os C O
2 1 1 1
Cartesian
1.9965 0.0000 0.0000
0.0000 0.0000 1.9965
1.9965 1.8664 1.9965
0.0000 1.8664 0.0000
0.0000 0.0000 0.0000